Computed, not measured: crystalline RbTaV2Pb at its relaxed geometry at the PBE level of DFT.

Cell lengths 4.6091, 5.6664, 4.6091 Å; angles 90.00, 90.00, 90.00 degrees
Closest atoms and distances in Å follow each position.
Fractional coordinates of all 5 atoms:
1 Pb 0.0000 0.5000 0.0000  2 Rb 2.83
2 V 0.0000 0.0000 0.5000  2 Rb 2.30
3 V 0.5000 0.0000 0.0000  2 Rb 2.30
4 Rb 0.0000 0.0000 0.0000  4 V 2.30
5 Ta 0.5000 0.5000 0.5000  4 Pb 3.26

Calculated values
- total moment (μB per formula unit) = 4.22
- SG = No. 123
- calculated formation energy (kJ/mol of atoms) = 262.56
- volume (Å³ per cell) = 120.4